one:
Entry from Alexandria: a relaxed CrInBr3 crystal (PBE).

a b c (Å): 5.2521 5.2521 5.2521
angles (deg): 90.00 90.00 90.00
Closest atoms and distances in Å follow each position.
Atoms (fractional coordinates):
Br 0.0000 0.5000 0.0000  2 Cr 2.63
Br 0.0000 0.0000 0.5000  2 Cr 2.63
Br 0.5000 0.0000 0.0000  2 Cr 2.63
In 0.5000 0.5000 0.5000  12 Br 3.71
Cr 0.0000 0.0000 0.0000  6 Br 2.63

Computed properties:
Its crystal system is cubic. For the density, the calculation gives 4.66 g/cm3.


two:
Entry from Alexandria: a relaxed CrInBr3 crystal (PBE).

a b c (Å): 15.1044 4.2712 9.7085
angles (deg): 84.10 90.00 90.00
Closest atoms and distances in Å follow each position.
Atoms (fractional coordinates):
In 0.1635 0.2280 0.0155  4 Br 3.14-3.50
In 0.8365 0.7720 0.9845  4 Br 3.14-3.50
In 0.3365 0.2280 0.5155  4 Br 3.14-3.50
In 0.6635 0.7720 0.4845  4 Br 3.14-3.50
Cr 0.5464 0.2235 0.8402  4 Br 2.52-2.56
Cr 0.0464 0.7765 0.6598  4 Br 2.52-2.56
Cr 0.4536 0.7765 0.1598  4 Br 2.52-2.56
Cr 0.9536 0.2235 0.3402  4 Br 2.52-2.56
Br 0.3034 0.7588 0.2723  1 Cr 2.52
Br 0.9006 0.7980 0.5262  2 Cr 2.55-2.56
Br 0.5106 0.3156 0.3231  1 Cr 2.55
Br 0.0994 0.2020 0.4738  2 Cr 2.55-2.56
Br 0.8034 0.2412 0.2277  1 Cr 2.52
Br 0.0106 0.6844 0.1769  1 Cr 2.55
Br 0.4894 0.6844 0.6769  1 Cr 2.55
Br 0.5994 0.7980 0.0262  2 Cr 2.55-2.56
Br 0.9894 0.3156 0.8231  1 Cr 2.55
Br 0.1966 0.7588 0.7723  1 Cr 2.52
Br 0.6966 0.2412 0.7277  1 Cr 2.52
Br 0.4006 0.2020 0.9738  2 Cr 2.55-2.56

Computed properties:
Its crystal system is monoclinic. For the density, the calculation gives 4.33 g/cm3.


three:
Entry from Alexandria: a relaxed CrInBr3 crystal (PBE).

a b c (Å): 5.5702 5.5702 5.5702
angles (deg): 90.00 90.00 90.00
Closest atoms and distances in Å follow each position.
Atoms (fractional coordinates):
Br 0.0000 0.5000 0.0000  2 In 2.79
Br 0.0000 0.0000 0.5000  2 In 2.79
Br 0.5000 0.0000 0.0000  2 In 2.79
In 0.0000 0.0000 0.0000  6 Br 2.79
Cr 0.5000 0.5000 0.5000  12 Br 3.94

Computed properties:
Its crystal system is cubic. For the density, the calculation gives 3.91 g/cm3.


Of them, the most stable is two and the least stable is three.


one:
Entry from Alexandria: a relaxed Cr3IrBr crystal (PBE).

a b c (Å): 4.8601 4.8601 4.8601
angles (deg): 90.00 90.00 90.00
Closest atoms and distances in Å follow each position.
Atoms (fractional coordinates):
Br 0.5000 0.5000 0.5000  12 Cr 3.44
Cr 0.0000 0.5000 0.0000  2 Ir 2.43
Cr 0.0000 0.0000 0.5000  2 Ir 2.43
Cr 0.5000 0.0000 0.0000  2 Ir 2.43
Ir 0.0000 0.0000 0.0000  6 Cr 2.43

Computed properties:
Its crystal system is cubic. For the density, the calculation gives 6.19 g/cm3.


two:
Entry from Alexandria: a relaxed Cr3IrBr crystal (PBE).

a b c (Å): 4.2804 4.2804 4.2804
angles (deg): 90.00 90.00 90.00
Closest atoms and distances in Å follow each position.
Atoms (fractional coordinates):
Cr 0.5000 0.0000 0.0000  2 Br 2.14
Cr 0.0000 0.0000 0.5000  2 Br 2.14
Cr 0.0000 0.5000 0.0000  2 Br 2.14
Br 0.0000 0.0000 0.0000  6 Cr 2.14
Ir 0.5000 0.5000 0.5000  12 Cr 3.03

Computed properties:
Its crystal system is cubic. For the density, the calculation gives 9.06 g/cm3.


Of them, the most stable is one and the least stable is two.


one:
Entry from Alexandria: a relaxed Cr2IrBr crystal (PBE).

a b c (Å): 5.3871 5.3871 5.3871
angles (deg): 138.80 138.80 59.69
Closest atoms and distances in Å follow each position.
Atoms (fractional coordinates):
Ir 0.5000 0.5000 0.0000  4 Cr 2.68
Cr 0.2500 0.7500 0.5000  4 Br 2.68
Cr 0.0000 0.0000 0.0000  4 Ir 2.68
Br 0.7500 0.2500 0.5000  4 Cr 2.68

Computed properties:
Its crystal system is tetragonal. For the density, the calculation gives 9.30 g/cm3.


two:
Entry from Alexandria: a relaxed Cr2IrBr crystal (PBE).

a b c (Å): 5.0421 5.0421 4.4831
angles (deg): 84.55 84.55 34.58
Closest atoms and distances in Å follow each position.
Atoms (fractional coordinates):
Br 0.2590 0.2590 0.2217  5 Cr 2.54-2.74, 1 Ir 2.68
Cr 0.0259 0.0259 0.0003  1 Br 2.54, 2 Ir 2.56, 2 Cr 2.78
Cr 0.7426 0.7426 0.7147  4 Br 2.66-2.74, 3 Ir 2.70-2.75, 2 Cr 2.78
Ir 0.4725 0.4725 0.5633  5 Cr 2.56-2.75, 1 Br 2.68

Computed properties:
Its crystal system is monoclinic. For the density, the calculation gives 9.70 g/cm3.


three:
Entry from Alexandria: a relaxed Cr2IrBr crystal (PBE).

a b c (Å): 3.1428 3.1428 6.9749
angles (deg): 90.00 90.00 90.00
Closest atoms and distances in Å follow each position.
Atoms (fractional coordinates):
Br 0.5000 0.5000 0.7943  4 Cr 2.78
Cr 0.0000 0.0000 0.0334  1 Ir 2.69, 4 Cr 2.70, 4 Br 2.78
Cr 0.5000 0.5000 0.2534  4 Ir 2.50, 4 Cr 2.70
Ir 0.0000 0.0000 0.4189  5 Cr 2.50-2.69

Computed properties:
Its crystal system is tetragonal. For the density, the calculation gives 9.07 g/cm3.


four:
Entry from Alexandria: a relaxed Cr2IrBr crystal (PBE).

a b c (Å): 4.6707 3.0111 4.9813
angles (deg): 98.12 90.00 90.00
Closest atoms and distances in Å follow each position.
Atoms (fractional coordinates):
Br 0.5000 0.8441 0.8132  4 Cr 2.48-2.61
Cr 0.0000 0.9951 0.9639  2 Br 2.48, 2 Ir 2.55-2.57
Cr 0.5000 0.0712 0.3388  2 Br 2.55-2.61, 4 Ir 2.78-2.80
Ir 0.0000 0.5895 0.3841  6 Cr 2.55-2.80

Computed properties:
Its crystal system is monoclinic. For the density, the calculation gives 9.01 g/cm3.


Of them, the most stable is three and the least stable is one.


one:
Entry from Alexandria: a relaxed Cr2IrBr crystal (PBE).

a b c (Å): 7.1218 7.1218 7.1218
angles (deg): 151.97 155.12 37.83
Closest atoms and distances in Å follow each position.
Atoms (fractional coordinates):
Ir 0.5437 0.5437 0.0000  6 Cr 2.52-2.53
Br 0.3063 0.8063 0.5000  6 Cr 2.67-2.86
Cr 0.6815 0.1815 0.5000  2 Ir 2.53
Cr 0.9685 0.9685 0.0000  4 Ir 2.52, 2 Br 2.67

Computed properties:
Its crystal system is orthorhombic. For the density, the calculation gives 8.76 g/cm3.


two:
Entry from Alexandria: a relaxed Cr2IrBr crystal (PBE).

a b c (Å): 5.4913 5.4913 6.5780
angles (deg): 65.33 65.33 90.00
Closest atoms and distances in Å follow each position.
Atoms (fractional coordinates):
Br 0.2500 0.7500 0.5000  4 Cr 2.41
Br 0.5000 0.5000 0.0000  4 Cr 2.41
Cr 0.3750 0.3586 0.7500  2 Ir 2.30, 2 Br 2.41
Cr 0.1086 0.6250 0.2500  2 Ir 2.30, 2 Br 2.41
Cr 0.6414 0.1250 0.2500  2 Ir 2.30, 2 Br 2.41
Cr 0.8750 0.8914 0.7500  2 Ir 2.30, 2 Br 2.41
Ir 0.7500 0.2500 0.5000  4 Cr 2.30
Ir 0.0000 0.0000 0.0000  4 Cr 2.30

Computed properties:
Its crystal system is tetragonal. For the density, the calculation gives 7.80 g/cm3.


Of them, the most stable is one and the least stable is two.


one:
Entry from Alexandria: a relaxed Cr2IrBr crystal (PBE).

a b c (Å): 3.1429 3.1664 7.2407
angles (deg): 90.00 90.00 90.00
Closest atoms and distances in Å follow each position.
Atoms (fractional coordinates):
Ir 0.5000 0.2500 0.2500  8 Cr 2.66
Cr 0.0000 0.7500 0.0488  4 Ir 2.66, 2 Br 2.67, 1 Cr 2.91
Cr 0.0000 0.7500 0.4512  4 Ir 2.66, 2 Br 2.67, 1 Cr 2.91
Br 0.5000 0.7500 0.7500  4 Cr 2.67

Computed properties:
Its crystal system is orthorhombic. For the density, the calculation gives 8.67 g/cm3.


two:
Entry from Alexandria: a relaxed Cr2IrBr crystal (PBE).

a b c (Å): 3.0459 6.8002 5.2296
angles (deg): 40.08 90.00 90.00
Closest atoms and distances in Å follow each position.
Atoms (fractional coordinates):
Cr 0.5000 0.5000 0.0000  2 Ir 2.61, 4 Br 2.67
Cr 0.0000 0.0000 0.0000  2 Br 2.61, 4 Ir 2.67
Ir 0.5000 0.5000 0.5000  6 Cr 2.61-2.67
Br 0.0000 0.0000 0.5000  6 Cr 2.61-2.67

Computed properties:
Its crystal system is monoclinic. For the density, the calculation gives 8.96 g/cm3.


three:
Entry from Alexandria: a relaxed Cr2IrBr crystal (PBE).

a b c (Å): 4.3056 4.3056 4.3056
angles (deg): 60.00 60.00 60.00
Closest atoms and distances in Å follow each position.
Atoms (fractional coordinates):
Cr 0.2500 0.2500 0.2500  4 Br 2.64, 4 Ir 2.64
Cr 0.7500 0.7500 0.7500  4 Br 2.64, 4 Ir 2.64
Ir 0.5000 0.5000 0.5000  8 Cr 2.64
Br 0.0000 0.0000 0.0000  8 Cr 2.64

Computed properties:
Its crystal system is cubic. For the density, the calculation gives 11.07 g/cm3.


Of them, the most stable is one and the least stable is three.


one:
Entry from Alexandria: a relaxed CrIrBr crystal (PBE).

a b c (Å): 3.1331 3.1331 6.3573
angles (deg): 90.00 90.00 120.00
Closest atoms and distances in Å follow each position.
Atoms (fractional coordinates):
Cr 0.6667 0.3333 0.3370  3 Ir 2.51, 3 Br 2.56
Ir 0.3333 0.6667 0.6117  3 Cr 2.51
Br 0.0000 0.0000 0.0513  3 Cr 2.56

Computed properties:
Its crystal system is trigonal. For the density, the calculation gives 9.96 g/cm3.


two:
Entry from Alexandria: a relaxed CrIrBr crystal (PBE).

a b c (Å): 6.3830 6.3830 6.3830
angles (deg): 153.81 153.81 37.38
Closest atoms and distances in Å follow each position.
Atoms (fractional coordinates):
Br 0.9687 0.9687 0.0000  4 Cr 2.66, 4 Br 2.89
Cr 0.3284 0.3284 0.0000  4 Ir 2.55, 4 Br 2.66
Ir 0.7029 0.7029 0.0000  4 Cr 2.55

Computed properties:
Its crystal system is tetragonal. For the density, the calculation gives 10.64 g/cm3.


three:
Entry from Alexandria: a relaxed CrIrBr crystal (PBE).

a b c (Å): 4.1849 4.1849 4.1849
angles (deg): 60.00 60.00 60.00
Closest atoms and distances in Å follow each position.
Atoms (fractional coordinates):
Br 0.5000 0.5000 0.5000  4 Cr 2.56
Ir 0.0000 0.0000 0.0000  4 Cr 2.56
Cr 0.7500 0.7500 0.7500  4 Br 2.56, 4 Ir 2.56

Computed properties:
Its crystal system is cubic. For the density, the calculation gives 10.38 g/cm3.


Of them, the most stable is one and the least stable is three.


one:
Entry from Alexandria: a relaxed KCr2Br crystal (PBE).

a b c (Å): 6.6792 6.6792 3.4277
angles (deg): 90.00 90.00 126.82
Closest atoms and distances in Å follow each position.
Atoms (fractional coordinates):
Cr 0.5000 0.5000 0.0000  2 Cr 2.99
Cr 0.0000 0.0000 0.0000  2 Cr 2.99
K 0.5000 0.0000 0.5000  2 Br 2.99
Br 0.0000 0.5000 0.5000  2 K 2.99

Computed properties:
Its crystal system is orthorhombic. For the density, the calculation gives 3.03 g/cm3.


two:
Entry from Alexandria: a relaxed KCr2Br crystal (PBE).

a b c (Å): 3.5052 3.5032 8.0703
angles (deg): 77.36 90.00 90.00
Closest atoms and distances in Å follow each position.
Atoms (fractional coordinates):
K 0.0000 0.5564 0.5137  4 Br 3.21, 4 K 3.50-3.51
Cr 0.5000 0.2305 0.1630  4 Cr 2.63
Cr 0.0000 0.7870 0.0501  4 Cr 2.63, 2 Br 2.80
Br 0.5000 0.9260 0.7732  2 Cr 2.80

Computed properties:
Its crystal system is monoclinic. For the density, the calculation gives 3.83 g/cm3.


Of them, the most stable is two and the least stable is one.


one:
Entry from Alexandria: a relaxed KCr2Br crystal (PBE).

a b c (Å): 3.5779 3.5779 10.3427
angles (deg): 90.00 90.00 118.92
Closest atoms and distances in Å follow each position.
Atoms (fractional coordinates):
Br 0.5000 0.5000 0.7500  4 Cr 2.76
Cr 0.0000 0.0000 0.5493  2 Br 2.76
Cr 0.0000 0.0000 0.9507  2 Br 2.76
K 0.5000 0.5000 0.2500  6 K 3.58-3.64, 4 Cr 3.59

Computed properties:
Its crystal system is orthorhombic. For the density, the calculation gives 3.20 g/cm3.


two:
Entry from Alexandria: a relaxed KCr2Br crystal (PBE).

a b c (Å): 5.5919 5.5919 10.4420
angles (deg): 74.47 74.47 90.00
Closest atoms and distances in Å follow each position.
Atoms (fractional coordinates):
Cr 0.3750 0.1250 0.7500  2 Br 2.79, 2 Cr 2.80
Cr 0.8750 0.6250 0.2500  2 Br 2.79, 2 Cr 2.80
Cr 0.8750 0.1250 0.7500  2 Br 2.79, 2 Cr 2.80
Cr 0.8750 0.1250 0.2500  2 Br 2.79, 2 Cr 2.80
Br 0.7500 0.2500 0.5000  4 Cr 2.79
Br 0.0000 0.0000 0.0000  4 Cr 2.79
K 0.2500 0.7500 0.5000  8 Cr 3.95, 4 Br 3.95
K 0.5000 0.5000 0.0000  8 Cr 3.95, 4 Br 3.95

Computed properties:
Its crystal system is tetragonal. For the density, the calculation gives 2.45 g/cm3.


three:
Entry from Alexandria: a relaxed KCr2Br crystal (PBE).

a b c (Å): 5.5595 5.5595 5.5595
angles (deg): 60.00 60.00 60.00
Closest atoms and distances in Å follow each position.
Atoms (fractional coordinates):
K 0.0000 0.0000 0.0000  8 Cr 3.40
Cr 0.2500 0.2500 0.2500  4 Br 3.40, 4 K 3.40
Cr 0.7500 0.7500 0.7500  4 K 3.40, 4 Br 3.40
Br 0.5000 0.5000 0.5000  8 Cr 3.40

Computed properties:
Its crystal system is cubic. For the density, the calculation gives 3.05 g/cm3.


four:
Entry from Alexandria: a relaxed KCr2Br crystal (PBE).

a b c (Å): 4.3144 4.3144 8.4096
angles (deg): 72.83 72.83 45.45
Closest atoms and distances in Å follow each position.
Atoms (fractional coordinates):
Cr 0.6937 0.6937 0.8277  3 Cr 2.46-2.60
Cr 0.9343 0.9343 0.9530  3 Cr 2.46-2.60, 2 Br 2.71
Br 0.3388 0.3388 0.2219  2 Cr 2.71
K 0.5332 0.5332 0.4974  3 Br 3.17-3.23, 2 K 3.33, 1 Cr 3.41

Computed properties:
Its crystal system is monoclinic. For the density, the calculation gives 3.50 g/cm3.


Of them, the most stable is four and the least stable is three.